1.
SnPSN2 after structural relaxation, computed with PBEsol.

Results
SG   P4/mmm, No. 123

extended XYZ file:
```
5
Lattice="3.628 0.000 0.000 0.000 3.628 0.000 0.000 0.000 4.584" Properties=species:S:1:pos:R:3 pbc="T T T"
Sn 0.000 0.000 0.000
P 1.814 1.814 2.292
S 1.814 1.814 0.000
N 0.000 1.814 2.292
N 1.814 0.000 2.292
```

***

2.
CaAlTe2 after structural relaxation, computed with PBEsol.

Results
SG   P4mm, No. 99

extended XYZ file:
```
4
Lattice="4.253 0.000 0.000 0.000 4.253 0.000 0.000 0.000 6.319" Properties=species:S:1:pos:R:3 pbc="T T T"
Ca 0.000 0.000 0.000
Al 2.127 2.127 3.472
Te 0.000 0.000 3.159
Te 2.127 2.127 6.280
```

***

3.
BePd2RuRh after structural relaxation, computed with PBEsol.

Results
ΔE_f   1.458 eV/atom
SG   P4/mmm, No. 123

extended XYZ file:
```
5
Lattice="4.715 0.000 0.000 0.000 4.715 0.000 0.000 0.000 3.852" Properties=species:S:1:pos:R:3 pbc="T T T"
Be 0.000 0.000 0.000
Pd 0.000 2.358 1.926
Pd 2.358 0.000 1.926
Ru 2.358 2.358 0.000
Rh 0.000 0.000 1.926
```

***

4.
Ir5Pt after structural relaxation, computed with PBEsol.

Results
ΔE_f   0.777 eV/atom
SG   P6/mmm, No. 191

extended XYZ file:
```
6
Lattice="4.993 0.000 0.000 -2.497 4.324 0.000 0.000 0.000 4.461" Properties=species:S:1:pos:R:3 pbc="T T T"
Ir -1.248 2.162 0.000
Ir 0.000 2.883 2.231
Ir 2.497 0.000 0.000
Ir 1.248 2.162 0.000
Ir 2.497 1.441 2.231
Pt 0.000 0.000 2.231
```

***

5.
SiP2SO after structural relaxation, computed with PBEsol.

Results
SG   P4/mmm, No. 123

extended XYZ file:
```
5
Lattice="4.442 0.000 0.000 0.000 4.442 0.000 0.000 0.000 4.277" Properties=species:S:1:pos:R:3 pbc="T T T"
Si 0.000 0.000 0.000
P 0.000 2.221 0.000
P 2.221 0.000 0.000
S 0.000 0.000 2.138
O 2.221 2.221 2.138
```

***

6.
LiIrRh2 after structural relaxation, computed with PBEsol.

Results
ΔE_f   -0.078 eV/atom
Energy above the most stable polymorph in this dataset   5 meV per atom
SG   Pmm2, No. 25

extended XYZ file:
```
4
Lattice="2.667 0.000 0.000 0.000 4.307 0.000 0.000 0.000 4.585" Properties=species:S:1:pos:R:3 pbc="T T T"
Li 0.000 0.000 0.000
Ir 0.000 2.153 1.558
Rh 1.333 0.000 2.313
Rh 1.333 2.153 3.893
```

***

7.
Nb2GaCoS after structural relaxation, computed with PBEsol.

Results
SG   P4/mmm, No. 123

extended XYZ file:
```
5
Lattice="4.778 0.000 0.000 0.000 4.778 0.000 0.000 0.000 4.378" Properties=species:S:1:pos:R:3 pbc="T T T"
Nb 0.000 2.389 0.000
Nb 2.389 0.000 0.000
Ga 0.000 0.000 0.000
Co 2.389 2.389 2.189
S 0.000 0.000 2.189
```

***

8.
MgHgMo after structural relaxation, computed with PBEsol.

Results
ΔE_f   0.519 eV/atom
Energy above the most stable polymorph in this dataset   217 meV per atom
SG   P3m1, No. 156

extended XYZ file:
```
3
Lattice="4.644 0.000 0.000 -2.322 4.022 0.000 0.000 0.000 2.878" Properties=species:S:1:pos:R:3 pbc="T T T"
Mg 0.000 0.000 0.000
Hg 2.322 1.341 2.872
Mo 0.000 2.681 1.435
```

***

9.
SrAsRu2 after structural relaxation, computed with PBEsol.

Results
ΔE_f   0.562 eV/atom
SG   I-4m2, No. 119

extended XYZ file:
```
4
Lattice="-2.102 2.102 3.930 2.102 -2.102 3.930 2.102 2.102 -3.930" Properties=species:S:1:pos:R:3 pbc="T T T"
Sr 0.000 0.000 0.000
As 0.000 2.102 1.965
Ru 2.102 0.000 1.965
Ru 0.000 0.000 3.930
```

***

10.
BaIn2Co after structural relaxation, computed with PBEsol.

Results
ΔE_f   0.300 eV/atom
SG   F-43m, No. 216

extended XYZ file:
```
4
Lattice="0.000 3.655 3.655 3.655 0.000 3.655 3.655 3.655 0.000" Properties=species:S:1:pos:R:3 pbc="T T T"
Ba 0.000 0.000 0.000
In 3.655 3.655 3.655
In 5.482 5.482 5.482
Co 1.827 1.827 1.827
```

***

| no. | DOS at the Fermi energy (states/eV/cell) | E_tot (eV per cell) | spin magnetization (μB per atom) |
| --- | --- | --- | --- |
| 1 | 1.8 | -28.7 | 0.0001 |
| 2 | 0.9 | -16.6 | 0.0000 |
| 3 | 9.3 | -26.9 | 0.5647 |
| 4 | 9.4 | -51.4 | 0.1305 |
| 5 | 3.7 | -21.6 | 0.1622 |
| 6 | 4.2 | -28.4 | 0.0001 |
| 7 | 7.3 | -29.1 | 0.4864 |
| 8 | 2.7 | -12.5 | 0.4494 |
| 9 | 5.5 | -25.0 | 0.2830 |
| 10 | 5.2 | -14.7 | 0.3898 |